First-principles (SCAN) data for BaScZn at its PBEsol-relaxed geometry, as listed in Alexandria via LeMat-Bulk.

The structure belongs to space group F-43m (No. 216); the cell edges are 7.064, 7.064 and 7.064 Å and the angles 90.00°, 90.00° and 90.00°. The distinct sites, in fractional coordinates, are Ba at (0.000, 0.000, 0.000), Sc at (0.250, 0.250, 0.250) and Zn at (0.000, 0.000, 0.500).

As for the relative energy among the computed polymorphs: 0.93 eV per formula unit. Its calculated formation energy is 0.51 eV/atom. As for the mass density: 4.67 g/cm3.